## CrRu2Rh (SCAN)

Data for a crystal of CrRu2Rh relaxed with PBEsol.

The value obtained for the calculated formation energy is 0.0753 eV/atom. For the size of the total moment, the calculation gives 0.00 μB/cell. For the final energy, the calculation gives -30.377 eV per atom.

The structure belongs to space group C2/m (No. 12); the cell edges are 8.709, 2.642 and 4.566 Å and the angles 90.00°, 100.99° and 90.00°. The asymmetric unit holds Cr at (0.000, 0.000, 0.000), Ru at (0.244, 0.500, 0.239) and Rh at (0.000, 0.500, 0.500).